[1]
A relaxed LaIn3Re crystal. Source: Alexandria via LeMat-Bulk, functional GGA-PBE.

## Properties
Volume: 27.96 Å³/atom
E_form: 0.501 eV per formula unit
Total energy: -5.018 eV/atom

```
LaIn3Re
1.0
5.190 0.000 0.000
0.000 5.190 0.000
0.000 0.000 5.190
In La Re
3 1 1
Direct
0.000 0.000 0.500
0.000 0.500 0.000
0.500 0.000 0.000
0.500 0.500 0.500
0.000 0.000 0.000
```

=====

[2]
A relaxed LaInRe3 crystal. Source: Alexandria via LeMat-Bulk, functional GGA-PBE.

## Properties
Volume: 23.27 Å³/atom
E_form: 14.171 eV per formula unit
Total energy: -6.168 eV/atom

```
LaInRe3
1.0
-3.260 2.721 2.408
0.935 -2.499 4.089
3.511 3.192 1.147
Re La In
3 1 1
Direct
0.000 0.500 0.000
0.000 0.000 0.500
0.500 0.000 0.000
0.000 0.000 0.000
0.500 0.500 0.500
```

=====

[3]
A relaxed LaInRe2 crystal. Source: Alexandria via LeMat-Bulk, functional GGA-PBE.

## Properties
Volume: 19.56 Å³/atom
E_form: 2.912 eV per formula unit
Total energy: -7.413 eV/atom

```
LaInRe2
1.0
5.683 -0.001 -0.002
-2.770 4.962 -0.001
0.143 0.849 2.775
Re In La
2 1 1
Direct
0.000 0.000 0.000
0.500 0.000 0.500
0.000 0.500 0.500
0.500 0.500 0.000
```